Compound: Hf4ZnAs
Source: Alexandria via LeMat-Bulk
Functional: PBE-GGA
Structure: relaxed

Unit cell a=6.5904 b=6.5904 c=5.3648 alpha=90.00 beta=90.00 gamma=90.00
With the nearest neighbours (Å) after each atom.
Atoms (fractional coordinates):
Hf1 0.1542 0.3454 0.0000  2 As 2.83, 2 Zn 2.83, 1 Hf 2.88
Hf2 0.1542 0.6546 0.5000  2 As 2.83, 2 Zn 2.83, 1 Hf 2.88
Hf3 0.3454 0.1542 0.5000  2 As 2.83, 2 Zn 2.83, 1 Hf 2.88
Hf4 0.3454 0.8458 0.0000  2 As 2.83, 2 Zn 2.83, 1 Hf 2.88
Hf5 0.6546 0.1542 0.0000  2 As 2.83, 2 Zn 2.83, 1 Hf 2.88
Hf6 0.6546 0.8458 0.5000  2 As 2.83, 2 Zn 2.83, 1 Hf 2.88
Hf7 0.8458 0.3454 0.5000  2 As 2.83, 2 Zn 2.83, 1 Hf 2.88
Hf8 0.8458 0.6546 0.0000  2 As 2.83, 2 Zn 2.83, 1 Hf 2.88
Zn1 0.5000 0.5000 0.2500  2 Zn 2.68, 8 Hf 2.83
Zn2 0.5000 0.5000 0.7500  2 Zn 2.68, 8 Hf 2.83
As1 0.0000 0.0000 0.2500  2 As 2.68, 8 Hf 2.83
As2 0.0000 0.0000 0.7500  2 As 2.68, 8 Hf 2.83

Formation enthalpy at 0 K = -0.46 eV/atom

Compound: K2Ag3Cl8
Source: Alexandria via LeMat-Bulk
Functional: PBE-GGA
Structure: relaxed

Unit cell a=5.0396 b=5.0396 c=14.8163 alpha=90.00 beta=90.00 gamma=90.00
With the nearest neighbours (Å) after each atom.
Atoms (fractional coordinates):
K1 0.0000 0.0000 0.1965  8 Cl 3.37-3.59
K2 0.0000 0.0000 0.8035  8 Cl 3.37-3.59
Ag1 0.5000 0.5000 0.0000  6 Cl 2.45-2.52
Ag2 0.5000 0.5000 0.3504  5 Cl 2.52-2.74
Ag3 0.5000 0.5000 0.6496  5 Cl 2.52-2.74
Cl1 0.0000 0.5000 0.0000  2 Ag 2.52
Cl2 0.0000 0.5000 0.3470  2 Ag 2.52
Cl3 0.0000 0.5000 0.6530  2 Ag 2.52
Cl4 0.5000 0.0000 0.0000  2 Ag 2.52
Cl5 0.5000 0.0000 0.3470  2 Ag 2.52
Cl6 0.5000 0.0000 0.6530  2 Ag 2.52
Cl7 0.5000 0.5000 0.1656  2 Ag 2.45-2.74
Cl8 0.5000 0.5000 0.8344  2 Ag 2.45-2.74

Short version: DFT total energy = -96.96; -36.41 eV/cell, in the order given.